Here is WCS2 after structural relaxation from the Alexandria database. Energies are from GGA-PBE.

Symmetry ... R-3m (166)
Raw total energy ... -6.882 eV per atom
Uncorrected formation energy ... 0.726 eV/atom
Crystal system ... trigonal

Unit cell a=6.6240 b=6.6240 c=6.6240 alpha=28.34 beta=28.34 gamma=28.34
Closest atoms and distances in Å follow each position.
Sites, in units of the cell vectors:
W: 0.0000 0.0000 0.0000  6 S 2.45
C: 0.5000 0.5000 0.5000  2 S 1.59
S: 0.4165 0.4165 0.4165  1 C 1.59
S: 0.5835 0.5835 0.5835  1 C 1.59